1.
Compound: Li2NdZn2Ag2
Source: Alexandria
Functional: PBE
Structure: optimized geometry

Cell: 4.5853 4.5947 8.0453 Å, 106.83 90.00 119.93°
Closest atoms and distances in Å follow each position.
Atoms (fractional coordinates):
Li: 0.1404 0.2807 0.4198  1 Ag 2.61, 3 Zn 2.89-2.91, 2 Li 2.91
Li: 0.8596 0.7193 0.5802  1 Ag 2.61, 3 Zn 2.89-2.91, 2 Li 2.91
Nd: 0.0000 0.0000 0.0000  2 Li 3.18, 6 Ag 3.20-3.21, 6 Zn 3.33
Zn: 0.5772 0.1543 0.7336  3 Ag 2.66, 3 Li 2.89-2.91
Zn: 0.4228 0.8457 0.2664  3 Ag 2.66, 3 Li 2.89-2.91
Ag: 0.7458 0.4916 0.2362  1 Li 2.61, 3 Zn 2.66
Ag: 0.2542 0.5084 0.7638  1 Li 2.61, 3 Zn 2.66

Results
As for the symmetry: C2/m (12). For the uncorrected energy, the calculation gives -18.33 eV/cell.

---

2.
Compound: PmY2Zr
Source: Alexandria
Functional: PBE
Structure: optimized geometry

Cell: 3.5286 3.5286 11.0728 Å, 80.83 80.83 60.00°
Closest atoms and distances in Å follow each position.
Atoms (fractional coordinates):
Pm: 0.5003 0.5003 0.4991  6 Y 3.52-3.54, 6 Pm 3.53
Y: 0.0785 0.0785 0.7646  3 Zr 3.28, 6 Y 3.53, 3 Pm 3.54
Y: 0.2548 0.2548 0.2357  3 Zr 3.27, 3 Pm 3.52, 6 Y 3.53
Zr: 0.6665 0.6665 0.0006  6 Y 3.27-3.28, 6 Zr 3.53

Results
As for the symmetry: R3m (160). For the uncorrected energy, the calculation gives -25.81 eV/cell.

---

3.
Compound: Ce6Ru2Br3N
Source: Alexandria
Functional: PBE
Structure: optimized geometry

Cell: 6.7456 6.7456 7.9933 Å, 97.96 97.96 119.97°
Closest atoms and distances in Å follow each position.
Atoms (fractional coordinates):
Ce: 0.9362 0.6303 0.8117  1 N 2.53, 2 Ru 2.74-2.78
Ce: 0.7618 0.7618 0.1930  1 N 2.52, 2 Ru 2.77
Ce: 0.0638 0.3697 0.1883  1 N 2.53, 2 Ru 2.74-2.78
Ce: 0.6303 0.9362 0.8117  1 N 2.53, 2 Ru 2.74-2.78
Ce: 0.2382 0.2382 0.8070  1 N 2.52, 2 Ru 2.77
Ce: 0.3697 0.0638 0.1883  1 N 2.53, 2 Ru 2.74-2.78
Ru: 0.3352 0.6648 0.0000  6 Ce 2.74-2.78
Ru: 0.6648 0.3352 0.0000  6 Ce 2.74-2.78
Br: 0.1743 0.8257 0.5000  6 Ce 3.23-3.36
Br: 0.8257 0.1743 0.5000  6 Ce 3.23-3.36
Br: 0.5000 0.5000 0.5000  6 Ce 3.23-3.40
N: 0.0000 0.0000 0.0000  6 Ce 2.52-2.53

Results
Its formation energy without anion corrections is -0.970 eV per atom. As for the symmetry: C2/m (12).

---

4.
Compound: Tm7CoPb4
Source: Alexandria
Functional: PBE
Structure: optimized geometry

Cell: 5.0763 9.2172 8.3234 Å, 81.22 72.25 74.02°
Closest atoms and distances in Å follow each position.
Atoms (fractional coordinates):
Tm: 0.7675 0.8700 0.5950  4 Pb 3.06-3.16
Tm: 0.2325 0.1300 0.4050  4 Pb 3.06-3.16
Tm: 0.0584 0.7384 0.1448  1 Co 2.51
Tm: 0.9416 0.2616 0.8552  1 Co 2.51
Tm: 0.3575 0.5527 0.7323  5 Pb 3.07-3.23
Tm: 0.5000 0.0000 0.0000  2 Co 2.54
Tm: 0.6425 0.4473 0.2676  5 Pb 3.07-3.23
Co: 0.0000 0.0000 0.0000  4 Tm 2.51-2.54
Pb: 0.5858 0.2261 0.6024  7 Tm 3.13-3.26
Pb: 0.4142 0.7739 0.3976  7 Tm 3.13-3.26
Pb: 0.7188 0.6504 0.9120  7 Tm 3.06-3.27
Pb: 0.2812 0.3496 0.0880  7 Tm 3.06-3.27

Results
As for the symmetry: C2/m (12). For the uncorrected energy, the calculation gives -54.76 eV/cell.

---

5.
Compound: KNaAs4
Source: Alexandria
Functional: PBE
Structure: optimized geometry

Cell: 5.9246 5.9246 5.9246 Å, 60.00 60.00 60.00°
Closest atoms and distances in Å follow each position.
Atoms (fractional coordinates):
Na: 0.2500 0.2500 0.2500  12 As 3.45, 4 K 3.63
As: 0.6153 0.6153 0.1542  3 As 2.73
As: 0.6153 0.1542 0.6153  3 As 2.73
As: 0.6153 0.6153 0.6153  3 As 2.73
As: 0.1542 0.6153 0.6153  3 As 2.73
K: 0.0000 0.0000 0.0000  12 As 3.50, 4 Na 3.63

Results
As for the symmetry: F-43m (216). For the uncorrected energy, the calculation gives -21.51 eV/cell.

---

6.
Compound: YAgPd2O
Source: Alexandria
Functional: PBE
Structure: optimized geometry

Cell: 4.4950 4.3272 4.4950 Å, 90.00 90.00 90.00°
Closest atoms and distances in Å follow each position.
Atoms (fractional coordinates):
Y: 0.0000 0.5000 0.0000  2 O 2.16
O: 0.0000 0.0000 0.0000  2 Y 2.16, 4 Pd 2.25
Pd: 0.0000 0.0000 0.5000  2 O 2.25
Pd: 0.5000 0.0000 0.0000  2 O 2.25
Ag: 0.5000 0.5000 0.5000  8 Pd 3.12, 4 Y 3.18

Results
Its formation energy without anion corrections is -0.794 eV per atom. As for the symmetry: P4/mmm (123).

---

7.
Compound: LiRePb2
Source: Alexandria
Functional: PBE
Structure: optimized geometry

Cell: 3.2729 5.7021 4.5540 Å, 90.00 90.00 90.00°
Closest atoms and distances in Å follow each position.
Atoms (fractional coordinates):
Li: 0.0000 0.5000 0.5000  4 Pb 2.80
Pb: 0.0000 0.0000 0.0000  4 Re 2.80
Pb: 0.5000 0.5000 0.0000  4 Li 2.80
Re: 0.5000 0.0000 0.5000  4 Pb 2.80

Results
As for the symmetry: Pmmm (47). For the uncorrected energy, the calculation gives -18.92 eV/cell.

---

8.
Compound: PmSm12Dy2
Source: Alexandria
Functional: PBE
Structure: optimized geometry

Cell: 6.7736 6.7736 24.8795 Å, 90.00 90.00 63.67°
Closest atoms and distances in Å follow each position.
Atoms (fractional coordinates):
Pm: 0.5000 0.0000 0.0009  8 Sm 3.45-3.73, 2 Pm 3.57
Pm: 0.0000 0.5000 0.9991  8 Sm 3.45-3.73, 2 Pm 3.57
Sm: 0.5000 0.5000 0.7998  3 Sm 3.13-3.36
Sm: 0.0000 0.0000 0.7998  3 Sm 3.13-3.36
Sm: 0.7514 0.7486 0.8694  8 Sm 3.36-3.66, 2 Pm 3.68-3.73
Sm: 0.2519 0.7519 0.9233  2 Pm 3.45-3.46, 9 Sm 3.55-3.82
Sm: 0.0000 0.0000 0.3260  3 Sm 3.13-3.36
Sm: 0.2481 0.7481 0.0767  2 Pm 3.45-3.46, 9 Sm 3.55-3.82
Sm: 0.7728 0.2728 0.5600  5 Sm 3.03-3.36
Sm: 0.5000 0.5000 0.3260  3 Sm 3.13-3.36
Sm: 0.2486 0.2514 0.8694  8 Sm 3.36-3.66, 2 Pm 3.68-3.73
Sm: 0.7486 0.7514 0.1306  8 Sm 3.36-3.66, 2 Pm 3.68-3.73
Sm: 0.2680 0.2320 0.5850  7 Sm 3.30-3.63
Sm: 0.7272 0.2272 0.4400  5 Sm 3.03-3.36
Sm: 0.0000 0.0000 0.6740  3 Sm 3.13-3.36
Sm: 0.2320 0.2680 0.4150  7 Sm 3.30-3.63
Sm: 0.2514 0.2486 0.1306  8 Sm 3.36-3.66, 2 Pm 3.68-3.73
Sm: 0.7680 0.7320 0.4150  7 Sm 3.30-3.63
Sm: 0.7320 0.7680 0.5850  7 Sm 3.30-3.63
Sm: 0.0000 0.0000 0.2002  3 Sm 3.13-3.36
Sm: 0.2272 0.7272 0.5600  5 Sm 3.03-3.36
Sm: 0.5000 0.5000 0.6740  3 Sm 3.13-3.36
Sm: 0.7481 0.2481 0.9233  2 Pm 3.45-3.46, 9 Sm 3.55-3.82
Sm: 0.5000 0.5000 0.2002  3 Sm 3.13-3.36
Sm: 0.2728 0.7728 0.4400  5 Sm 3.03-3.36
Sm: 0.7519 0.2519 0.0767  2 Pm 3.45-3.46, 9 Sm 3.55-3.82
Dy: 0.5000 0.0000 0.2714  2 Dy 3.57, 10 Sm 3.65-3.93
Dy: 0.0000 0.5000 0.2670  2 Dy 3.57, 10 Sm 3.69-3.84
Dy: 0.0000 0.5000 0.7286  2 Dy 3.57, 10 Sm 3.65-3.93
Dy: 0.5000 0.0000 0.7330  2 Dy 3.57, 10 Sm 3.69-3.84

Results
As for the symmetry: Cmme (67). For the uncorrected energy, the calculation gives -136.39 eV/cell.